(1)
Na2SrCrO4 PBE+U relaxed; energy = -46.9 eV per formula unit; density of states at the Fermi level = 0.000 states/eV per cell; total magnetization = 2.00 μB/cell
1.0
0.000 4.274 3.615
3.714 0.000 3.615
3.714 4.274 0.000
Na Sr Cr O
2 1 1 4
Cartesian
1.857 2.137 0.000 Na
1.857 2.137 3.615 Na
3.714 4.274 1.836 Sr
3.714 4.274 5.166 Cr
3.714 1.658 2.307 O
5.161 4.274 4.062 O
3.714 6.890 2.307 O
2.268 4.274 4.062 O



(2)
Na3TaCr3O8 PBE+U relaxed; energy = -108.5 eV per formula unit; density of states at the Fermi level = 5.149 states/eV per cell; total magnetization = 10.00 μB/cell
1.0
5.447 -3.050 0.000
5.447 3.050 0.000
-3.532 0.000 5.538
Na Ta Cr O
3 1 3 8
Cartesian
0.000 0.000 0.000 Na
2.724 1.525 0.000 Na
2.724 -1.525 0.000 Na
-1.766 0.000 2.769 Ta
0.958 1.525 2.769 Cr
0.958 -1.525 2.769 Cr
3.681 0.000 2.769 Cr
-0.040 0.000 3.816 O
2.908 1.573 3.885 O
4.454 1.573 1.653 O
1.894 0.000 1.746 O
5.469 0.000 3.792 O
2.908 -1.573 3.885 O
4.454 -1.573 1.653 O
7.403 0.000 1.722 O